<i>
Density functional theory data (PBE) for a geometry-optimized BaZrSc structure.

The structure in CIF format:
```
data_BaZrSc
_chemical_formula_sum 'Ba4 Zr4 Sc4'
_cell_length_a 7.585
_cell_length_b 7.585
_cell_length_c 7.585
_cell_angle_alpha 90.00
_cell_angle_beta 90.00
_cell_angle_gamma 90.00
_symmetry_space_group_name_H-M 'F -4 3 m'
_symmetry_Int_Tables_number 216
_symmetry_space_group_name_Hall 'F -4 2 3'
loop_
_atom_site_label
_atom_site_type_symbol
_atom_site_fract_x
_atom_site_fract_y
_atom_site_fract_z
Ba1 Ba 0.000 0.000 0.000
Zr1 Zr 0.250 0.250 0.750
Sc1 Sc 0.000 0.000 0.500
```


<ii>
Density functional theory data (PBE) for a geometry-optimized BaZrSc structure.

The structure in CIF format:
```
data_BaZrSc
_chemical_formula_sum 'Ba4 Zr4 Sc4'
_cell_length_a 7.310
_cell_length_b 7.310
_cell_length_c 7.310
_cell_angle_alpha 90.00
_cell_angle_beta 90.00
_cell_angle_gamma 90.00
_symmetry_space_group_name_H-M 'F -4 3 m'
_symmetry_Int_Tables_number 216
_symmetry_space_group_name_Hall 'F -4 2 3'
loop_
_atom_site_label
_atom_site_type_symbol
_atom_site_fract_x
_atom_site_fract_y
_atom_site_fract_z
Ba1 Ba 0.000 0.000 0.000
Zr1 Zr 0.250 0.250 0.750
Sc1 Sc 0.250 0.250 0.250
```


What is the stability order? It is <i>, <ii>, from most stable to least stable.


<i>
Density functional theory data (PBE) for a geometry-optimized Ba4Se3 structure.

The structure in CIF format:
```
data_Ba4Se3
_chemical_formula_sum 'Ba12 Se9'
_cell_length_a 4.7044
_cell_length_b 4.7044
_cell_length_c 46.5061
_cell_angle_alpha 90.00
_cell_angle_beta 90.00
_cell_angle_gamma 120.00
_symmetry_space_group_name_H-M 'R -3 m'
_symmetry_Int_Tables_number 166
_symmetry_space_group_name_Hall '-R 3 2"'
loop_
_atom_site_label
_atom_site_type_symbol
_atom_site_fract_x
_atom_site_fract_y
_atom_site_fract_z
Ba1 Ba 0.0000 0.0000 0.1231
Ba2 Ba 0.0000 0.0000 0.3741
Se1 Se 0.0000 0.0000 0.0000
Se2 Se 0.0000 0.0000 0.2495
```


<ii>
Density functional theory data (PBE) for a geometry-optimized Ba4Se3 structure.

The structure in CIF format:
```
data_Ba4Se3
_chemical_formula_sum 'Ba4 Se3'
_cell_length_a 6.8476
_cell_length_b 6.8476
_cell_length_c 6.2265
_cell_angle_alpha 90.00
_cell_angle_beta 90.00
_cell_angle_gamma 120.00
_symmetry_space_group_name_H-M 'P 6/m m m'
_symmetry_Int_Tables_number 191
_symmetry_space_group_name_Hall '-P 6 2'
loop_
_atom_site_label
_atom_site_type_symbol
_atom_site_fract_x
_atom_site_fract_y
_atom_site_fract_z
Ba1 Ba 0.0000 0.0000 0.2364
Ba2 Ba 0.3333 0.6667 0.5000
Se1 Se 0.0000 0.5000 0.0000
```


What is the stability order? It is <i>, <ii>, from most stable to least stable.


<i>
Density functional theory data (PBE) for a geometry-optimized BaSe5 structure.

The structure in CIF format:
```
data_BaSe5
_chemical_formula_sum 'Ba4 Se20'
_cell_length_a 8.410
_cell_length_b 8.410
_cell_length_c 8.410
_cell_angle_alpha 90.00
_cell_angle_beta 90.00
_cell_angle_gamma 90.00
_symmetry_space_group_name_H-M 'F -4 3 m'
_symmetry_Int_Tables_number 216
_symmetry_space_group_name_Hall 'F -4 2 3'
loop_
_atom_site_label
_atom_site_type_symbol
_atom_site_fract_x
_atom_site_fract_y
_atom_site_fract_z
Ba1 Ba 0.000 0.000 0.000
Se1 Se 0.123 0.123 0.377
Se2 Se 0.250 0.250 0.750
```


<ii>
Density functional theory data (PBE) for a geometry-optimized BaSe5 structure.

The structure in CIF format:
```
data_BaSe5
_chemical_formula_sum 'Ba2 Se10'
_cell_length_a 5.910
_cell_length_b 6.936
_cell_length_c 10.518
_cell_angle_alpha 103.59
_cell_angle_beta 103.32
_cell_angle_gamma 90.47
_symmetry_space_group_name_H-M 'P -1'
_symmetry_Int_Tables_number 2
_symmetry_space_group_name_Hall '-P 1'
loop_
_atom_site_label
_atom_site_type_symbol
_atom_site_fract_x
_atom_site_fract_y
_atom_site_fract_z
Ba1 Ba 0.092 0.299 0.271
Se1 Se 0.150 0.871 0.058
Se2 Se 0.179 0.017 0.594
Se3 Se 0.318 0.691 0.556
Se4 Se 0.435 0.491 0.808
Se5 Se 0.459 0.232 0.915
```


What is the stability order? It is <ii>, <i>, from most stable to least stable.


<i>
Density functional theory data (PBE) for a geometry-optimized BaSe5 structure.

The structure in CIF format:
```
data_BaSe5
_chemical_formula_sum 'Ba2 Se10'
_cell_length_a 5.551
_cell_length_b 13.376
_cell_length_c 4.311
_cell_angle_alpha 90.00
_cell_angle_beta 90.00
_cell_angle_gamma 90.00
_symmetry_space_group_name_H-M 'C m m m'
_symmetry_Int_Tables_number 65
_symmetry_space_group_name_Hall '-C 2 2'
loop_
_atom_site_label
_atom_site_type_symbol
_atom_site_fract_x
_atom_site_fract_y
_atom_site_fract_z
Ba1 Ba 0.000 0.000 0.000
Se1 Se 0.000 0.239 0.500
Se2 Se 0.000 0.351 0.000
Se3 Se 0.000 0.500 0.500
```


<ii>
Density functional theory data (PBE) for a geometry-optimized BaSe5 structure.

The structure in CIF format:
```
data_BaSe5
_chemical_formula_sum 'Ba1 Se5'
_cell_length_a 4.247
_cell_length_b 4.247
_cell_length_c 10.480
_cell_angle_alpha 90.00
_cell_angle_beta 90.00
_cell_angle_gamma 90.00
_symmetry_space_group_name_H-M 'P 4/m m m'
_symmetry_Int_Tables_number 123
_symmetry_space_group_name_Hall '-P 4 2'
loop_
_atom_site_label
_atom_site_type_symbol
_atom_site_fract_x
_atom_site_fract_y
_atom_site_fract_z
Ba1 Ba 0.000 0.000 0.000
Se1 Se 0.000 0.000 0.391
Se2 Se 0.500 0.500 0.117
Se3 Se 0.500 0.500 0.500
```


What is the stability order? It is <i>, <ii>, from most stable to least stable.